Below is a relaxed structure of Mg3BeF, with properties calculated at the PBE-GGA level.

Lattice parameters (Å, degrees): 4.3811 4.3811 4.3811 90.00 90.00 90.00
Space group Pm-3m (No. 221)
One atom of each set of equivalent atoms:
Mg 0.0000 0.0000 0.5000 [3 per cell]
Be 0.5000 0.5000 0.5000 [1 per cell]
F 0.0000 0.0000 0.0000 [1 per cell]

Results
spin magnetization = 0.0 μB/f.u.
E_form (uncorrected) = -0.475 eV/atom
DOS(E_F) = 1.93 states/eV/f.u.
crystal system = cubic